The following is a PBE-GGA calculation of a relaxed structure of FeAgTePd, from Alexandria.

## Properties
Its density of states at the Fermi level is 3.71 states/eV/f.u. As for the crystal system: tetragonal. The formation energy from raw total energies is 0.1362 eV per atom. Its distance to the lowest polymorph of the same formula is 0 meV per atom. The calculation puts the final energy at -38.21 eV per cell.

Cell and atoms, written as extended XYZ:
```
8
Lattice="3.1693 0.0000 0.0000 0.0000 3.1777 0.0000 0.0000 0.0000 15.1625" Properties=species:S:1:pos:R:3 pbc="T T T"
Ag 0.0000 0.0000 6.3423
Ag 1.5846 1.5889 13.9236
Fe 1.5846 1.5889 10.7339
Fe 0.0000 0.0000 3.1527
Pd 1.5846 1.5889 4.6053
Pd 0.0000 0.0000 12.1865
Te 1.5846 1.5889 1.6331
Te 0.0000 0.0000 9.2144
```



The following is a PBE-GGA calculation of a relaxed structure of KAlP4H4O14, from Alexandria.

## Properties
Its density of states at the Fermi level is 0.00 states/eV/f.u. As for the crystal system: triclinic. The calculation puts the final energy at -158.41 eV per cell.

Cell and atoms, written as extended XYZ:
```
24
Lattice="5.0111 0.0851 0.0292 2.2419 7.3830 0.0768 0.9410 1.0287 7.8387" Properties=species:S:1:pos:R:3 pbc="T T T"
O 5.0236 4.5591 1.3950
O 3.5005 0.9987 2.2123
O 4.6935 7.4981 5.7324
O 5.0225 5.0294 5.1529
O 4.7149 2.5284 5.2600
O 2.5742 4.7299 0.6687
O 1.6647 1.7262 3.7872
O 1.5647 2.2511 1.2447
O 3.1704 3.9378 6.5497
O 6.6294 6.2457 6.7000
O 5.6198 3.7670 7.2760
O 6.5293 6.7707 4.1575
O 3.4791 5.9684 2.6847
O 3.1715 3.4674 2.7918
K 0.0000 0.0000 0.0000
H 5.5194 2.3736 4.6388
H 2.1858 0.7081 4.8619
H 6.0083 7.7887 3.0828
H 2.6746 6.1232 3.3059
P 2.3877 2.0740 2.5056
P 3.5816 4.6793 1.8133
P 5.8064 6.4229 5.4391
P 4.6125 3.8175 6.1314
Al 1.1210 3.6915 0.0384
```



The following is a PBE-GGA calculation of a relaxed structure of Fe2PbAu, from Alexandria.

## Properties
Its density of states at the Fermi level is 1.95 states/eV/f.u. The energy of formation from the pure elements is 0.483 eV per atom. As for the crystal system: cubic. The calculation puts the final energy at -21.98 eV per cell.

Cell and atoms, written as extended XYZ:
```
4
Lattice="4.6168 0.0000 0.0000 2.3084 3.9983 0.0000 2.3084 1.3328 3.7696" Properties=species:S:1:pos:R:3 pbc="T T T"
Pb 6.9252 3.9983 2.8272
Fe 2.3084 1.3328 0.9424
Fe 0.0000 0.0000 0.0000
Au 4.6168 2.6655 1.8848
```



The following is a PBE-GGA calculation of a relaxed structure of CsYTe3Pb, from Alexandria.

## Properties
As for the crystal system: monoclinic. The formation energy from raw total energies is -1.0316 eV per atom. The calculation puts the final energy at -53.28 eV per cell.

Cell and atoms, written as extended XYZ:
```
12
Lattice="4.5148 0.0000 0.0000 0.0000 9.9048 -0.6705 0.0000 -3.2968 11.8045" Properties=species:S:1:pos:R:3 pbc="T T T"
Y 1.1287 5.7817 1.3408
Y 3.3861 0.8263 9.7933
Te 3.3861 7.9588 1.6874
Te 1.1287 5.0754 4.4339
Te 3.3861 3.6952 1.0156
Te 1.1287 2.9128 10.1185
Te 3.3861 1.5327 6.7001
Te 1.1287 -1.3507 9.4467
Pb 3.3861 7.1163 4.5253
Pb 1.1287 -0.5083 6.6087
Cs 1.1287 1.3171 2.9610
Cs 3.3861 5.2909 8.1730
```



The following is a PBE-GGA calculation of a relaxed structure of NbNi2Te8, from Alexandria.

## Properties
Its density of states at the Fermi level is 7.68 states/eV/f.u. As for the crystal system: monoclinic. The formation energy from raw total energies is -0.0852 eV per atom. The calculation puts the final energy at -47.70 eV per cell.

Cell and atoms, written as extended XYZ:
```
11
Lattice="-0.2209 -5.5166 0.5527 5.2465 -1.2430 -6.0220 7.8909 -0.5798 1.6534" Properties=species:S:1:pos:R:3 pbc="T T T"
Nb 0.0000 0.0000 0.0000
Te 4.6139 -1.4507 -1.4642
Te 1.9301 -4.0129 -0.3183
Te 7.1257 -2.5561 -4.2637
Te 8.3026 -5.8887 -2.3516
Te 10.9864 -3.3265 -3.4976
Te 5.7908 -4.7833 0.4478
Te 4.5490 -5.0947 -3.1566
Te 8.3675 -2.2447 -0.6592
Ni 10.6326 -6.0919 -3.1368
Ni 2.2839 -1.2475 -0.6791
```



The following is a PBE-GGA calculation of a relaxed structure of KHf2Sc, from Alexandria.

## Properties
Its density of states at the Fermi level is 7.47 states/eV/f.u. The energy of formation from the pure elements is 1.128 eV per atom. As for the crystal system: cubic. Its distance to the lowest polymorph of the same formula is 0 meV per atom. The calculation puts the final energy at -22.82 eV per cell.

Cell and atoms, written as extended XYZ:
```
4
Lattice="1.7079 -3.7932 3.2801 1.4979 1.2370 4.9286 -2.9807 -1.4758 4.1234" Properties=species:S:1:pos:R:3 pbc="T T T"
Sc 0.1126 -2.0160 6.1660
Hf 0.1689 -3.0240 9.2490
Hf 0.0563 -1.0080 3.0830
K 0.0000 0.0000 0.0000
```



The following is a PBE-GGA calculation of a relaxed structure of NaGaSN2, from Alexandria.

## Properties
Its density of states at the Fermi level is 2.16 states/eV/f.u. As for the crystal system: tetragonal. The formation energy from raw total energies is 0.8347 eV per atom. Its distance to the lowest polymorph of the same formula is 0 meV per atom. The calculation puts the final energy at -20.95 eV per cell.

Cell and atoms, written as extended XYZ:
```
5
Lattice="4.0295 0.0000 0.0000 0.0000 4.0295 0.0000 0.0000 0.0000 5.0480" Properties=species:S:1:pos:R:3 pbc="T T T"
Ga 0.0000 0.0000 0.0000
S 0.0000 0.0000 2.5240
N 0.0000 2.0148 0.0000
N 2.0148 0.0000 0.0000
Na 2.0148 2.0148 2.5240
```



The following is a PBE-GGA calculation of a relaxed structure of PrCoSi, from Alexandria.

## Properties
Its density of states at the Fermi level is 1.44 states/eV/f.u. As for the crystal system: tetragonal. The formation energy from raw total energies is -0.6024 eV per atom. The calculation puts the final energy at -38.23 eV per cell.

Cell and atoms, written as extended XYZ:
```
6
Lattice="3.9276 0.0000 0.0000 0.0000 3.9276 0.0000 -1.9638 -1.9638 7.7975" Properties=species:S:1:pos:R:3 pbc="T T T"
Co 0.0000 1.9638 0.0000
Co 1.9638 0.0000 0.0000
Pr 1.9638 1.9638 2.3888
Pr 0.0000 0.0000 5.4087
Si 0.0000 0.0000 1.2854
Si 1.9638 1.9638 6.5121
```



no.,volume (A^3/atom),calculated density (g/cm³)
1,19.09,8.7
2,12.00,2.4
3,17.40,12.3
4,43.16,5.2
5,28.63,6.5
6,26.28,7.0
7,16.39,3.1
8,20.05,6.3